(1)
A relaxed LiIr2Br crystal. Source: Alexandria via LeMat-Bulk, functional PBE.

```
data_LiIr2Br
_cell_length_a 4.4882
_cell_length_b 4.4882
_cell_length_c 8.3537
_cell_angle_alpha 77.22
_cell_angle_beta 77.22
_cell_angle_gamma 34.80
_symmetry_space_group_name_H-M 'P 1'
_symmetry_Int_Tables_number 1
_symmetry_space_group_name_Hall 'P 1'
loop_
_atom_site_label
_atom_site_type_symbol
_atom_site_fract_x
_atom_site_fract_y
_atom_site_fract_z
_atom_site_occupancy
Br1 Br 0.1476 0.1476 0.2961 1
Ir1 Ir 0.0262 0.0262 0.8614 1
Ir2 Ir 0.7802 0.7802 0.7750 1
Li1 Li 0.5460 0.5460 0.5675 1
```

Excess energy over the best structure of this formula in the dataset   0.082 eV/atom
Space group   Cm (8)
Final energy   -20.58 eV for the cell shown

***

(2)
A relaxed ScZnIn crystal. Source: Alexandria via LeMat-Bulk, functional PBE.

```
data_ScZnIn
_cell_length_a 4.4757
_cell_length_b 6.0362
_cell_length_c 5.8864
_cell_angle_alpha 59.32
_cell_angle_beta 67.67
_cell_angle_gamma 89.89
_symmetry_space_group_name_H-M 'P 1'
_symmetry_Int_Tables_number 1
_symmetry_space_group_name_Hall 'P 1'
loop_
_atom_site_label
_atom_site_type_symbol
_atom_site_fract_x
_atom_site_fract_y
_atom_site_fract_z
_atom_site_occupancy
Sc1 Sc 0.0724 0.5990 0.5333 1
Sc2 Sc 0.7236 0.0852 0.2314 1
Zn1 Zn 0.7182 0.5688 0.2418 1
Zn2 Zn 0.4065 0.1440 0.8646 1
In1 In 0.0229 0.0561 0.6324 1
In2 In 0.3737 0.5757 0.9314 1
```

Calculated formation energy   -78 kJ/mol of formula units
Space group   P1 (1)
Final energy   -22.31 eV for the cell shown

***

(3)
A relaxed KSrSe2Br crystal. Source: Alexandria via LeMat-Bulk, functional PBE.

```
data_KSrSe2Br
_cell_length_a 5.9770
_cell_length_b 5.9770
_cell_length_c 6.0122
_cell_angle_alpha 90.00
_cell_angle_beta 90.00
_cell_angle_gamma 90.00
_symmetry_space_group_name_H-M 'P 1'
_symmetry_Int_Tables_number 1
_symmetry_space_group_name_Hall 'P 1'
loop_
_atom_site_label
_atom_site_type_symbol
_atom_site_fract_x
_atom_site_fract_y
_atom_site_fract_z
_atom_site_occupancy
Sr1 Sr 0.0000 0.0000 0.0000 1
K1 K 0.5000 0.5000 0.5000 1
Se1 Se 0.0000 0.5000 0.0000 1
Se2 Se 0.5000 0.0000 0.0000 1
Br1 Br 0.0000 0.0000 0.5000 1
```

Excess energy over the best structure of this formula in the dataset   0.000 eV/atom
Space group   P4/mmm (123)
Final energy   -16.17 eV for the cell shown

***

(4)
A relaxed GeW3C crystal. Source: Alexandria via LeMat-Bulk, functional PBE.

```
data_GeW3C
_cell_length_a 4.1581
_cell_length_b 4.1581
_cell_length_c 4.1581
_cell_angle_alpha 90.00
_cell_angle_beta 90.00
_cell_angle_gamma 90.00
_symmetry_space_group_name_H-M 'P 1'
_symmetry_Int_Tables_number 1
_symmetry_space_group_name_Hall 'P 1'
loop_
_atom_site_label
_atom_site_type_symbol
_atom_site_fract_x
_atom_site_fract_y
_atom_site_fract_z
_atom_site_occupancy
Ge1 Ge 0.5000 0.5000 0.5000 1
C1 C 0.0000 0.0000 0.0000 1
W1 W 0.0000 0.5000 0.0000 1
W2 W 0.0000 0.0000 0.5000 1
W3 W 0.5000 0.0000 0.0000 1
```

Calculated formation energy   202 kJ/mol of formula units
Excess energy over the best structure of this formula in the dataset   0.000 eV/atom
Space group   Pm-3m (221)
Final energy   -50.61 eV for the cell shown

***

(5)
A relaxed ZrFe2Os2 crystal. Source: Alexandria via LeMat-Bulk, functional PBE.

```
data_ZrFe2Os2
_cell_length_a 7.2675
_cell_length_b 7.2675
_cell_length_c 2.6868
_cell_angle_alpha 90.00
_cell_angle_beta 90.00
_cell_angle_gamma 90.00
_symmetry_space_group_name_H-M 'P 1'
_symmetry_Int_Tables_number 1
_symmetry_space_group_name_Hall 'P 1'
loop_
_atom_site_label
_atom_site_type_symbol
_atom_site_fract_x
_atom_site_fract_y
_atom_site_fract_z
_atom_site_occupancy
Os1 Os 0.1740 0.6740 0.5000 1
Os2 Os 0.6740 0.8260 0.5000 1
Os3 Os 0.8260 0.3260 0.5000 1
Os4 Os 0.3260 0.1740 0.5000 1
Fe1 Fe 0.3817 0.8817 0.0000 1
Fe2 Fe 0.8817 0.6183 0.0000 1
Fe3 Fe 0.6183 0.1183 0.0000 1
Fe4 Fe 0.1183 0.3817 0.0000 1
Zr1 Zr 0.0000 0.0000 0.0000 1
Zr2 Zr 0.5000 0.5000 0.0000 1
```

Calculated formation energy   4 kJ/mol of formula units
Excess energy over the best structure of this formula in the dataset   0.000 eV/atom
Space group   P4/mbm (127)
Final energy   -95.78 eV for the cell shown

***

(6)
A relaxed TmSi crystal. Source: Alexandria via LeMat-Bulk, functional PBE.

```
data_TmSi
_cell_length_a 3.9829
_cell_length_b 3.9829
_cell_length_c 10.8225
_cell_angle_alpha 100.60
_cell_angle_beta 100.60
_cell_angle_gamma 90.00
_symmetry_space_group_name_H-M 'P 1'
_symmetry_Int_Tables_number 1
_symmetry_space_group_name_Hall 'P 1'
loop_
_atom_site_label
_atom_site_type_symbol
_atom_site_fract_x
_atom_site_fract_y
_atom_site_fract_z
_atom_site_occupancy
Tm1 Tm 0.4458 0.9458 0.8915 1
Tm2 Tm 0.6958 0.6958 0.3915 1
Tm3 Tm 0.3042 0.3042 0.6085 1
Tm4 Tm 0.0542 0.5542 0.1085 1
Si1 Si 0.5869 0.0869 0.1739 1
Si2 Si 0.8369 0.8369 0.6739 1
Si3 Si 0.1631 0.1631 0.3261 1
Si4 Si 0.9131 0.4131 0.8261 1
```

Space group   I4_1/amd (141)
Final energy   -45.83 eV for the cell shown

***

(7)
A relaxed Li2CaRhO4 crystal. Source: Alexandria via LeMat-Bulk, functional PBE.

```
data_Li2CaRhO4
_cell_length_a 5.4770
_cell_length_b 5.0261
_cell_length_c 5.0261
_cell_angle_alpha 62.56
_cell_angle_beta 56.99
_cell_angle_gamma 56.99
_symmetry_space_group_name_H-M 'P 1'
_symmetry_Int_Tables_number 1
_symmetry_space_group_name_Hall 'P 1'
loop_
_atom_site_label
_atom_site_type_symbol
_atom_site_fract_x
_atom_site_fract_y
_atom_site_fract_z
_atom_site_occupancy
Li1 Li 0.2466 0.2534 0.2534 1
Li2 Li 0.7534 0.7466 0.7466 1
Ca1 Ca 0.5000 0.5000 0.5000 1
Rh1 Rh 0.0000 0.0000 0.0000 1
O1 O 0.3787 0.0626 0.6411 1
O2 O 0.0824 0.9374 0.3589 1
O3 O 0.9176 0.6411 0.0626 1
O4 O 0.6213 0.3589 0.9374 1
```

Space group   I222 (23)
Final energy   -45.40 eV for the cell shown

***

(8)
A relaxed ZrReI2Cl crystal. Source: Alexandria via LeMat-Bulk, functional PBE.

```
data_ZrReI2Cl
_cell_length_a 5.5952
_cell_length_b 4.4352
_cell_length_c 5.5952
_cell_angle_alpha 90.00
_cell_angle_beta 90.00
_cell_angle_gamma 90.00
_symmetry_space_group_name_H-M 'P 1'
_symmetry_Int_Tables_number 1
_symmetry_space_group_name_Hall 'P 1'
loop_
_atom_site_label
_atom_site_type_symbol
_atom_site_fract_x
_atom_site_fract_y
_atom_site_fract_z
_atom_site_occupancy
I1 I 0.0000 0.0000 0.5000 1
I2 I 0.5000 0.0000 0.0000 1
Re1 Re 0.0000 0.0000 0.0000 1
Zr1 Zr 0.5000 0.5000 0.5000 1
Cl1 Cl 0.0000 0.5000 0.0000 1
```

Space group   P4/mmm (123)
Final energy   -21.70 eV for the cell shown

***

Please write out number 3 again, unchanged.
A relaxed KSrSe2Br crystal. Source: Alexandria via LeMat-Bulk, functional PBE.

```
data_KSrSe2Br
_cell_length_a 5.9770
_cell_length_b 5.9770
_cell_length_c 6.0122
_cell_angle_alpha 90.00
_cell_angle_beta 90.00
_cell_angle_gamma 90.00
_symmetry_space_group_name_H-M 'P 1'
_symmetry_Int_Tables_number 1
_symmetry_space_group_name_Hall 'P 1'
loop_
_atom_site_label
_atom_site_type_symbol
_atom_site_fract_x
_atom_site_fract_y
_atom_site_fract_z
_atom_site_occupancy
Sr1 Sr 0.0000 0.0000 0.0000 1
K1 K 0.5000 0.5000 0.5000 1
Se1 Se 0.0000 0.5000 0.0000 1
Se2 Se 0.5000 0.0000 0.0000 1
Br1 Br 0.0000 0.0000 0.5000 1
```

Excess energy over the best structure of this formula in the dataset   0.000 eV/atom
Space group   P4/mmm (123)
Final energy   -16.17 eV for the cell shown

***

Repeat the fifth record exactly.
A relaxed ZrFe2Os2 crystal. Source: Alexandria via LeMat-Bulk, functional PBE.

```
data_ZrFe2Os2
_cell_length_a 7.2675
_cell_length_b 7.2675
_cell_length_c 2.6868
_cell_angle_alpha 90.00
_cell_angle_beta 90.00
_cell_angle_gamma 90.00
_symmetry_space_group_name_H-M 'P 1'
_symmetry_Int_Tables_number 1
_symmetry_space_group_name_Hall 'P 1'
loop_
_atom_site_label
_atom_site_type_symbol
_atom_site_fract_x
_atom_site_fract_y
_atom_site_fract_z
_atom_site_occupancy
Os1 Os 0.1740 0.6740 0.5000 1
Os2 Os 0.6740 0.8260 0.5000 1
Os3 Os 0.8260 0.3260 0.5000 1
Os4 Os 0.3260 0.1740 0.5000 1
Fe1 Fe 0.3817 0.8817 0.0000 1
Fe2 Fe 0.8817 0.6183 0.0000 1
Fe3 Fe 0.6183 0.1183 0.0000 1
Fe4 Fe 0.1183 0.3817 0.0000 1
Zr1 Zr 0.0000 0.0000 0.0000 1
Zr2 Zr 0.5000 0.5000 0.0000 1
```

Calculated formation energy   4 kJ/mol of formula units
Excess energy over the best structure of this formula in the dataset   0.000 eV/atom
Space group   P4/mbm (127)
Final energy   -95.78 eV for the cell shown

***

What is the final energy in the seventh record? -45.40 eV for the cell shown

***

Repeat the fifth record exactly.
A relaxed ZrFe2Os2 crystal. Source: Alexandria via LeMat-Bulk, functional PBE.

```
data_ZrFe2Os2
_cell_length_a 7.2675
_cell_length_b 7.2675
_cell_length_c 2.6868
_cell_angle_alpha 90.00
_cell_angle_beta 90.00
_cell_angle_gamma 90.00
_symmetry_space_group_name_H-M 'P 1'
_symmetry_Int_Tables_number 1
_symmetry_space_group_name_Hall 'P 1'
loop_
_atom_site_label
_atom_site_type_symbol
_atom_site_fract_x
_atom_site_fract_y
_atom_site_fract_z
_atom_site_occupancy
Os1 Os 0.1740 0.6740 0.5000 1
Os2 Os 0.6740 0.8260 0.5000 1
Os3 Os 0.8260 0.3260 0.5000 1
Os4 Os 0.3260 0.1740 0.5000 1
Fe1 Fe 0.3817 0.8817 0.0000 1
Fe2 Fe 0.8817 0.6183 0.0000 1
Fe3 Fe 0.6183 0.1183 0.0000 1
Fe4 Fe 0.1183 0.3817 0.0000 1
Zr1 Zr 0.0000 0.0000 0.0000 1
Zr2 Zr 0.5000 0.5000 0.0000 1
```

Calculated formation energy   4 kJ/mol of formula units
Excess energy over the best structure of this formula in the dataset   0.000 eV/atom
Space group   P4/mbm (127)
Final energy   -95.78 eV for the cell shown